Entry 1:
Density functional theory data (PBE) for a relaxed structure of ZnAg2Pt.

## Properties
**V**: 65.0 Å³ per cell
**Formation energy from the elements**: -143 meV/atom
**Space group**: No. 119

POSCAR file:
```
ZnAg2Pt
1.0
4.8463 -0.0065 0.0000
1.4028 4.6388 0.0000
-3.1245 -2.3162 2.8912
Ag Pt Zn
2 1 1
Direct
0.2500 0.7500 0.5000
0.0000 0.0000 0.0000
0.5000 0.5000 0.0000
0.7500 0.2500 0.5000
```



Entry 2:
Density functional theory data (PBE) for a relaxed structure of Mg2ZnCu.

## Properties
**V**: 149.6 Å³ per cell
**Formation energy from the elements**: 166 meV/atom
**Space group**: No. 194

POSCAR file:
```
Mg2ZnCu
1.0
-2.3364 3.4873 -1.7017
0.6098 -0.3495 4.4746
7.1128 4.4625 -0.6208
Mg Zn Cu
4 2 2
Direct
0.6667 0.3333 0.0862
0.3333 0.6667 0.5862
0.3333 0.6667 0.9138
0.6667 0.3333 0.4138
0.0000 0.0000 0.5000
0.0000 0.0000 0.0000
0.6667 0.3333 0.7500
0.3333 0.6667 0.2500
```



Entry 3:
Density functional theory data (PBE) for a relaxed structure of Si2Ni2Sn.

## Properties
**ΔE_f (raw)**: -0.021 eV per atom
**V**: 144.6 Å³ per cell
**Space group**: No. 127

POSCAR file:
```
Si2Ni2Sn
1.0
-1.4555 6.7805 -2.3685
-5.1873 0.6791 5.1318
1.8257 0.9908 1.7144
Si Ni Sn
4 4 2
Direct
0.3668 0.1332 0.5000
0.1332 0.6332 0.5000
0.6332 0.8668 0.5000
0.8668 0.3668 0.5000
0.8480 0.6520 0.0000
0.3480 0.8480 0.0000
0.6520 0.1520 0.0000
0.1520 0.3480 0.0000
0.0000 0.0000 0.0000
0.5000 0.5000 0.0000
```



These records have uncorrected energy values of -13.587, -7.896, -26.518 eV per formula unit, in the order they appear.
These records have DOS at the Fermi energy values of 0.19, 0.33, 0.75 states/eV/atom, in the order they appear.